1.
# Ce3Y2ScSe6 (GGA-PBE, optimized geometry)
# **N(E_F)**: 19.360 states/eV/f.u.
# **ΔE_f (raw)**: -2044 kJ/mol of formula units
# **Space-group type**: No. 12
data_Ce3Y2ScSe6
_cell_length_a 9.240
_cell_length_b 9.240
_cell_length_c 8.309
_cell_angle_alpha 104.20
_cell_angle_beta 104.20
_cell_angle_gamma 25.49
_symmetry_space_group_name_H-M 'P 1'
_symmetry_Int_Tables_number 1
_symmetry_space_group_name_Hall 'P 1'
loop_
_atom_site_label
_atom_site_type_symbol
_atom_site_fract_x
_atom_site_fract_y
_atom_site_fract_z
Ce1 Ce 0.000 0.000 0.000
Ce2 Ce 0.331 0.331 0.665
Ce3 Ce 0.669 0.669 0.335
Y1 Y 0.334 0.334 0.168
Y2 Y 0.666 0.666 0.832
Sc1 Sc 0.000 0.000 0.500
Se1 Se 0.159 0.159 0.587
Se2 Se 0.169 0.169 0.077
Se3 Se 0.499 0.499 0.268
Se4 Se 0.501 0.501 0.732
Se5 Se 0.831 0.831 0.923
Se6 Se 0.841 0.841 0.413

2.
# CeScSi4 (GGA-PBE, optimized geometry)
# **N(E_F)**: 4.688 states/eV/f.u.
# **ΔE_f (raw)**: -295 kJ/mol of formula units
# **Space-group type**: No. 55
data_CeScSi4
_cell_length_a 7.365
_cell_length_b 15.717
_cell_length_c 3.902
_cell_angle_alpha 90.00
_cell_angle_beta 90.00
_cell_angle_gamma 90.00
_symmetry_space_group_name_H-M 'P 1'
_symmetry_Int_Tables_number 1
_symmetry_space_group_name_Hall 'P 1'
loop_
_atom_site_label
_atom_site_type_symbol
_atom_site_fract_x
_atom_site_fract_y
_atom_site_fract_z
Ce1 Ce 0.125 0.164 0.000
Ce2 Ce 0.375 0.664 0.000
Ce3 Ce 0.625 0.336 0.000
Ce4 Ce 0.875 0.836 0.000
Sc1 Sc 0.131 0.413 0.000
Sc2 Sc 0.369 0.913 0.000
Sc3 Sc 0.631 0.087 0.000
Sc4 Sc 0.869 0.587 0.000
Si1 Si 0.034 0.687 0.500
Si2 Si 0.106 0.945 0.500
Si3 Si 0.141 0.544 0.500
Si4 Si 0.216 0.804 0.500
Si5 Si 0.284 0.304 0.500
Si6 Si 0.359 0.044 0.500
Si7 Si 0.394 0.445 0.500
Si8 Si 0.466 0.187 0.500
Si9 Si 0.534 0.813 0.500
Si10 Si 0.606 0.555 0.500
Si11 Si 0.641 0.956 0.500
Si12 Si 0.716 0.696 0.500
Si13 Si 0.784 0.196 0.500
Si14 Si 0.859 0.456 0.500
Si15 Si 0.894 0.055 0.500
Si16 Si 0.966 0.313 0.500